1.
# MgP2CCl meta-GGA SCAN PBEsol geometry
# size of the total moment: 0.41 μB/f.u.
# energy relative to the elements, uncorrected: 172 kJ per mole of atoms
data_MgP2CCl
_symmetry_space_group_name_H-M 'P 1'
_symmetry_Int_Tables_number 1
_cell_length_a 4.565
_cell_length_b 4.837
_cell_length_c 4.837
_cell_angle_alpha 90.00
_cell_angle_beta 90.00
_cell_angle_gamma 90.00
loop_
_symmetry_equiv_pos_as_xyz
'x,y,z'
loop_
_atom_site_label
_atom_site_type_symbol
_atom_site_fract_x
_atom_site_fract_y
_atom_site_fract_z
P1 P 0.000 0.000 0.500
P2 P 0.000 0.500 0.000
Cl1 Cl 0.500 0.000 0.000
Mg1 Mg 0.000 0.000 0.000
C1 C 0.500 0.500 0.500


2.
# TlRe2Ag meta-GGA SCAN PBEsol geometry
# energy above the most stable polymorph in this dataset: 0 meV/atom
# size of the total moment: 0.00 μB/f.u.
# E_form: 0.95 eV/atom
data_TlRe2Ag
_symmetry_space_group_name_H-M 'P 1'
_symmetry_Int_Tables_number 1
_cell_length_a 3.810
_cell_length_b 4.493
_cell_length_c 4.932
_cell_angle_alpha 117.10
_cell_angle_beta 112.72
_cell_angle_gamma 90.00
loop_
_symmetry_equiv_pos_as_xyz
'x,y,z'
loop_
_atom_site_label
_atom_site_type_symbol
_atom_site_fract_x
_atom_site_fract_y
_atom_site_fract_z
Tl1 Tl 0.496 0.496 0.991
Re1 Re 0.021 0.021 0.042
Re2 Re 0.727 0.227 0.455
Ag1 Ag 0.256 0.756 0.511


3.
# PtW2Se meta-GGA SCAN PBEsol geometry
# size of the total moment: 1.22 μB/f.u.
# energy relative to the elements, uncorrected: 76 kJ per mole of atoms
data_PtW2Se
_symmetry_space_group_name_H-M 'P 1'
_symmetry_Int_Tables_number 1
_cell_length_a 4.492
_cell_length_b 4.492
_cell_length_c 4.492
_cell_angle_alpha 60.00
_cell_angle_beta 60.00
_cell_angle_gamma 60.00
loop_
_symmetry_equiv_pos_as_xyz
'x,y,z'
loop_
_atom_site_label
_atom_site_type_symbol
_atom_site_fract_x
_atom_site_fract_y
_atom_site_fract_z
W1 W 0.750 0.750 0.750
W2 W 0.000 0.000 0.000
Pt1 Pt 0.500 0.500 0.500
Se1 Se 0.250 0.250 0.250


4.
# NiPtRh meta-GGA SCAN PBEsol geometry
# energy above the most stable polymorph in this dataset: 18 meV/atom
# size of the total moment: 2.27 μB/f.u.
# E_form: -0.05 eV/atom
data_NiPtRh
_symmetry_space_group_name_H-M 'P 1'
_symmetry_Int_Tables_number 1
_cell_length_a 2.676
_cell_length_b 3.685
_cell_length_c 4.590
_cell_angle_alpha 113.67
_cell_angle_beta 106.95
_cell_angle_gamma 90.00
loop_
_symmetry_equiv_pos_as_xyz
'x,y,z'
loop_
_atom_site_label
_atom_site_type_symbol
_atom_site_fract_x
_atom_site_fract_y
_atom_site_fract_z
Ni1 Ni 0.998 0.998 0.997
Pt1 Pt 0.664 0.664 0.328
Rh1 Rh 0.337 0.337 0.675


5.
# YMg2Cd meta-GGA SCAN PBEsol geometry
# size of the total moment: 0.00 μB/f.u.
# E_form: -0.24 eV/atom
data_YMg2Cd
_symmetry_space_group_name_H-M 'P 1'
_symmetry_Int_Tables_number 1
_cell_length_a 4.441
_cell_length_b 4.449
_cell_length_c 4.801
_cell_angle_alpha 90.00
_cell_angle_beta 90.00
_cell_angle_gamma 90.00
loop_
_symmetry_equiv_pos_as_xyz
'x,y,z'
loop_
_atom_site_label
_atom_site_type_symbol
_atom_site_fract_x
_atom_site_fract_y
_atom_site_fract_z
Cd1 Cd 0.000 0.500 0.500
Y1 Y 0.500 0.000 0.500
Mg1 Mg 0.000 0.000 0.000
Mg2 Mg 0.500 0.500 0.000


6.
# In2TeAsBr meta-GGA SCAN PBEsol geometry
# size of the total moment: 1.51 μB/f.u.
# energy relative to the elements, uncorrected: 55 kJ per mole of atoms
data_In2TeAsBr
_symmetry_space_group_name_H-M 'P 1'
_symmetry_Int_Tables_number 1
_cell_length_a 5.420
_cell_length_b 5.768
_cell_length_c 5.768
_cell_angle_alpha 90.00
_cell_angle_beta 90.00
_cell_angle_gamma 90.00
loop_
_symmetry_equiv_pos_as_xyz
'x,y,z'
loop_
_atom_site_label
_atom_site_type_symbol
_atom_site_fract_x
_atom_site_fract_y
_atom_site_fract_z
Br1 Br 0.500 0.000 0.000
In1 In 0.000 0.500 0.000
In2 In 0.000 0.000 0.500
As1 As 0.500 0.500 0.500
Te1 Te 0.000 0.000 0.000


7.
# La12Ni6Pb meta-GGA SCAN PBEsol geometry
# size of the total moment: 0.00 μB/f.u.
# E_form: -0.34 eV/atom
data_La12Ni6Pb
_symmetry_space_group_name_H-M 'P 1'
_symmetry_Int_Tables_number 1
_cell_length_a 8.709
_cell_length_b 8.709
_cell_length_c 8.709
_cell_angle_alpha 109.47
_cell_angle_beta 109.47
_cell_angle_gamma 109.47
loop_
_symmetry_equiv_pos_as_xyz
'x,y,z'
loop_
_atom_site_label
_atom_site_type_symbol
_atom_site_fract_x
_atom_site_fract_y
_atom_site_fract_z
Ni1 Ni 0.500 0.125 0.625
Ni2 Ni 0.125 0.625 0.500
Ni3 Ni 0.875 0.375 0.500
Ni4 Ni 0.375 0.500 0.875
Ni5 Ni 0.625 0.500 0.125
Ni6 Ni 0.500 0.875 0.375
La1 La 0.508 0.818 0.689
La2 La 0.818 0.689 0.508
La3 La 0.311 0.129 0.818
La4 La 0.182 0.311 0.492
La5 La 0.182 0.689 0.871
La6 La 0.689 0.871 0.182
La7 La 0.492 0.182 0.311
La8 La 0.311 0.492 0.182
La9 La 0.129 0.818 0.311
La10 La 0.689 0.508 0.818
La11 La 0.871 0.182 0.689
La12 La 0.818 0.311 0.129
Pb1 Pb 0.000 0.000 0.000


8.
# AlInIr meta-GGA SCAN PBEsol geometry
# size of the total moment: 0.00 μB/f.u.
# E_form: -0.27 eV/atom
data_AlInIr
_symmetry_space_group_name_H-M 'P 1'
_symmetry_Int_Tables_number 1
_cell_length_a 3.143
_cell_length_b 4.296
_cell_length_c 4.296
_cell_angle_alpha 120.00
_cell_angle_beta 90.00
_cell_angle_gamma 90.00
loop_
_symmetry_equiv_pos_as_xyz
'x,y,z'
loop_
_atom_site_label
_atom_site_type_symbol
_atom_site_fract_x
_atom_site_fract_y
_atom_site_fract_z
Ir1 Ir 0.500 0.667 0.333
Al1 Al 0.500 0.000 0.000
In1 In 0.000 0.333 0.667


9.
# RbNa2Pb2 meta-GGA SCAN PBEsol geometry
# energy above the most stable polymorph in this dataset: 9 meV/atom
# size of the total moment: 0.00 μB/f.u.
# E_form: -0.24 eV/atom
data_RbNa2Pb2
_symmetry_space_group_name_H-M 'P 1'
_symmetry_Int_Tables_number 1
_cell_length_a 3.553
_cell_length_b 9.629
_cell_length_c 9.629
_cell_angle_alpha 90.00
_cell_angle_beta 90.00
_cell_angle_gamma 90.00
loop_
_symmetry_equiv_pos_as_xyz
'x,y,z'
loop_
_atom_site_label
_atom_site_type_symbol
_atom_site_fract_x
_atom_site_fract_y
_atom_site_fract_z
Na1 Na 0.500 0.326 0.174
Na2 Na 0.500 0.826 0.326
Na3 Na 0.500 0.674 0.826
Na4 Na 0.500 0.174 0.674
Pb1 Pb 0.000 0.615 0.115
Pb2 Pb 0.000 0.885 0.615
Pb3 Pb 0.000 0.385 0.885
Pb4 Pb 0.000 0.115 0.385
Rb1 Rb 0.000 0.000 0.000
Rb2 Rb 0.000 0.500 0.500


10.
# ZrBi2TeAu meta-GGA SCAN PBEsol geometry
# size of the total moment: 0.22 μB/f.u.
# energy relative to the elements, uncorrected: 48 kJ per mole of atoms
data_ZrBi2TeAu
_symmetry_space_group_name_H-M 'P 1'
_symmetry_Int_Tables_number 1
_cell_length_a 5.077
_cell_length_b 5.653
_cell_length_c 5.653
_cell_angle_alpha 90.00
_cell_angle_beta 90.00
_cell_angle_gamma 90.00
loop_
_symmetry_equiv_pos_as_xyz
'x,y,z'
loop_
_atom_site_label
_atom_site_type_symbol
_atom_site_fract_x
_atom_site_fract_y
_atom_site_fract_z
Bi1 Bi 0.000 0.000 0.500
Bi2 Bi 0.000 0.500 0.000
Te1 Te 0.500 0.500 0.500
Zr1 Zr 0.000 0.000 0.000
Au1 Au 0.500 0.000 0.000


11.
# MgAlCd2 meta-GGA SCAN PBEsol geometry
# size of the total moment: 0.00 μB/f.u.
# E_form: 0.00 eV/atom
data_MgAlCd2
_symmetry_space_group_name_H-M 'P 1'
_symmetry_Int_Tables_number 1
_cell_length_a 3.062
_cell_length_b 3.062
_cell_length_c 8.523
_cell_angle_alpha 90.00
_cell_angle_beta 90.00
_cell_angle_gamma 90.00
loop_
_symmetry_equiv_pos_as_xyz
'x,y,z'
loop_
_atom_site_label
_atom_site_type_symbol
_atom_site_fract_x
_atom_site_fract_y
_atom_site_fract_z
Al1 Al 0.500 0.500 0.750
Cd1 Cd 0.000 0.000 0.992
Cd2 Cd 0.500 0.500 0.253
Mg1 Mg 0.000 0.000 0.506


12.
# LiMn2Pt meta-GGA SCAN PBEsol geometry
# size of the total moment: 8.35 μB/f.u.
# E_form: -0.49 eV/atom
data_LiMn2Pt
_symmetry_space_group_name_H-M 'P 1'
_symmetry_Int_Tables_number 1
_cell_length_a 3.253
_cell_length_b 4.116
_cell_length_c 4.116
_cell_angle_alpha 90.00
_cell_angle_beta 90.00
_cell_angle_gamma 90.00
loop_
_symmetry_equiv_pos_as_xyz
'x,y,z'
loop_
_atom_site_label
_atom_site_type_symbol
_atom_site_fract_x
_atom_site_fract_y
_atom_site_fract_z
Pt1 Pt 0.500 0.500 0.500
Mn1 Mn 0.000 0.000 0.500
Mn2 Mn 0.000 0.500 0.000
Li1 Li 0.500 0.000 0.000